{"formula": "La8Bi3Te4Se", "functional": "PBE", "state": "optimized geometry", "space_group": "R-3m, No. 166", "e_form_raw_kcal_per_mol_atoms": -33.4, "e_tot_ev_per_cell": -90.254, "volume_a3_per_cell": 551, "mass_density_g_cm3": 7.019, "cell": [[4.603, 2.658, 7.503], [-4.603, 2.658, 7.503], [0.000, -5.315, 7.503]], "species": ["La", "La", "La", "La", "La", "La", "La", "La", "Bi", "Bi", "Bi", "Te", "Te", "Te", "Te", "Se"], "fractional_positions": [[0.241, 0.758, 0.758], [0.242, 0.242, 0.759], [0.242, 0.759, 0.242], [0.249, 0.249, 0.249], [0.751, 0.751, 0.751], [0.758, 0.241, 0.758], [0.758, 0.758, 0.241], [0.759, 0.242, 0.242], [0.000, 0.500, 0.500], [0.500, 0.000, 0.500], [0.500, 0.500, 0.000], [0.000, 0.000, 0.500], [0.000, 0.500, 0.000], [0.500, 0.000, 0.000], [0.500, 0.500, 0.500], [0.000, 0.000, 0.000]]}


{"formula": "LaBiTe2Se", "functional": "PBE", "state": "optimized geometry", "space_group": "P4/mmm, No. 123", "e_form_raw_kcal_per_mol_atoms": -4.5, "e_tot_ev_per_cell": -19.555, "volume_a3_per_cell": 177, "mass_density_g_cm3": 6.397, "cell": [[5.638, 0.000, 0.000], [0.000, 5.638, 0.000], [0.000, 0.000, 5.570]], "species": ["La", "Bi", "Te", "Te", "Se"], "fractional_positions": [[0.000, 0.000, 0.000], [0.500, 0.500, 0.000], [0.000, 0.500, 0.500], [0.500, 0.000, 0.500], [0.000, 0.000, 0.500]]}


{"formula": "La4Bi2TeSe", "functional": "PBE", "state": "optimized geometry", "space_group": "P2/m, No. 10", "e_form_raw_kcal_per_mol_atoms": -32.6, "e_tot_ev_per_cell": -45.421, "volume_a3_per_cell": 272, "mass_density_g_cm3": 7.199, "cell": [[7.901, 0.000, 0.000], [0.000, 4.596, 0.000], [-2.674, 0.000, 7.497]], "species": ["La", "La", "La", "La", "Bi", "Bi", "Te", "Se"], "fractional_positions": [[0.238, 0.000, 0.238], [0.243, 0.500, 0.756], [0.757, 0.500, 0.244], [0.762, 0.000, 0.762], [0.500, 0.000, 0.000], [0.500, 0.500, 0.500], [0.000, 0.000, 0.500], [0.000, 0.500, 0.000]]}


{"formula": "La6Bi2TeSe3", "functional": "PBE", "state": "optimized geometry", "space_group": "C2/m, No. 12", "e_form_raw_kcal_per_mol_atoms": -37.1, "e_tot_ev_per_cell": -70.215, "volume_a3_per_cell": 384, "mass_density_g_cm3": 6.983, "cell": [[9.801, -2.241, 0.000], [9.801, 2.241, 0.000], [-2.124, 0.000, 8.745]], "species": ["La", "La", "La", "La", "La", "La", "Bi", "Bi", "Te", "Se", "Se", "Se"], "fractional_positions": [[0.005, 0.005, 0.237], [0.328, 0.328, 0.428], [0.338, 0.338, 0.905], [0.662, 0.662, 0.095], [0.672, 0.672, 0.572], [0.995, 0.995, 0.763], [0.166, 0.166, 0.832], [0.834, 0.834, 0.168], [0.500, 0.500, 0.500], [0.167, 0.167, 0.334], [0.500, 0.500, 0.000], [0.833, 0.833, 0.666]]}